[1]
! TeAuCl3, relaxed, DFT PBE; values from VASP
! **E_form (uncorrected)**: -240.5 meV/atom
! **Offset from the most stable computed form**: 0.0000 eV/atom
! **N(E_F)**: 0.12 states/eV/cell
! **Total magnetization**: 0.0 μB per formula unit
&SYSTEM
  ibrav = 0, nat = 20, ntyp = 3
/
ATOMIC_SPECIES
Te 127.60 Te.upf
Au 196.97 Au.upf
Cl 35.45 Cl.upf
ATOMIC_POSITIONS angstrom
Te -0.1493 5.6145 5.5602
Te 5.9379 5.6145 2.8031
Te -0.7997 0.7724 13.8847
Te 5.2875 0.7724 11.1276
Au 0.1137 1.6735 1.9786
Au -0.5366 4.7134 10.3031
Au 5.6748 1.6735 6.3847
Au 5.0245 4.7134 14.7092
Cl 3.9338 0.7910 7.6451
Cl 3.2834 5.5959 15.9696
Cl 0.4564 3.8490 13.5762
Cl 1.0326 3.9690 1.4206
Cl 1.1067 2.5378 5.2517
Cl 1.2044 5.5959 9.0427
Cl 4.7559 3.9690 6.9427
Cl 4.0315 3.8490 11.4361
Cl 4.1056 2.4178 15.2672
Cl 4.6818 2.5378 3.1116
Cl 1.8548 0.7910 0.7182
Cl 0.3823 2.4178 9.7451
CELL_PARAMETERS angstrom
6.4389 0.0000 0.0388
0.0000 6.3869 0.0000
-1.3007 0.0000 16.6490

---

[2]
! MgFeRh3, relaxed, DFT PBE; values from VASP
! **Formation energy from the elements**: 0.678 eV/atom
! **Offset from the most stable computed form**: 0.0000 eV/atom
! **N(E_F)**: 7.51 states/eV/cell
! **Total magnetization**: 0.0 μB per formula unit
&SYSTEM
  ibrav = 0, nat = 5, ntyp = 3
/
ATOMIC_SPECIES
Mg 24.30 Mg.upf
Rh 102.91 Rh.upf
Fe 55.84 Fe.upf
ATOMIC_POSITIONS angstrom
Mg 2.2277 2.2277 2.2277
Rh 0.0000 2.2277 0.0000
Rh 0.0000 0.0000 2.2277
Rh 2.2277 0.0000 0.0000
Fe 0.0000 0.0000 0.0000
CELL_PARAMETERS angstrom
4.4555 0.0000 0.0000
0.0000 4.4555 0.0000
0.0000 0.0000 4.4555

---

[3]
! TmGa8Ni2, relaxed, DFT PBE; values from VASP
! **Formation energy from the elements**: -0.059 eV/atom
! **N(E_F)**: 7.50 states/eV/cell
! **Total magnetization**: 0.0 μB per formula unit
&SYSTEM
  ibrav = 0, nat = 11, ntyp = 3
/
ATOMIC_SPECIES
Tm 168.93 Tm.upf
Ga 69.72 Ga.upf
Ni 58.69 Ni.upf
ATOMIC_POSITIONS angstrom
Tm 2.8406 2.8406 3.5711
Ga 4.3106 4.3106 1.4539
Ga 4.3106 1.3706 5.6883
Ga 4.3106 4.3106 5.6883
Ga 4.3106 1.3706 1.4539
Ga 1.3706 4.3106 1.4539
Ga 1.3706 4.3106 5.6883
Ga 1.3706 1.3706 1.4539
Ga 1.3706 1.3706 5.6883
Ni 2.8406 0.0000 0.0000
Ni 0.0000 2.8406 0.0000
CELL_PARAMETERS angstrom
5.6812 0.0000 0.0000
0.0000 5.6812 0.0000
0.0000 0.0000 7.1422